(1)
Material: RbInH3
Method: DFT, PBE
State: relaxed

Unit cell a=3.8522 b=7.0983 c=7.3738 alpha=90.00 beta=100.16 gamma=90.00
Fractional positions:
Rb: 0.0927 0.2500 0.3107
Rb: 0.9073 0.7500 0.6893
In: 0.4276 0.7500 0.2017
In: 0.5724 0.2500 0.7983
H: 0.3773 0.0497 0.6683
H: 0.3773 0.4503 0.6683
H: 0.4843 0.2500 0.0263
H: 0.5157 0.7500 0.9737
H: 0.6227 0.5497 0.3317
H: 0.6227 0.9503 0.3317


(2)
Material: RbBiO2F
Method: DFT, PBE
State: relaxed

Values from the calculation:
formation energy from raw total energies = -1583.8 meV/atom

Unit cell a=4.3645 b=4.3645 c=4.7144 alpha=90.00 beta=90.00 gamma=90.00
Fractional positions:
Rb: 0.0000 0.0000 0.0000
Bi: 0.5000 0.5000 0.5000
O: 0.0000 0.5000 0.5000
O: 0.5000 0.0000 0.5000
F: 0.5000 0.5000 0.0000


(3)
Material: SiAu
Method: DFT, PBE
State: relaxed

Values from the calculation:
formation energy from raw total energies = 118.8 meV/atom

Unit cell a=11.5190 b=3.3835 c=6.2149 alpha=90.00 beta=116.67 gamma=90.00
Fractional positions:
Si: 0.0000 0.0000 0.0000
Si: 0.0728 0.5000 0.6082
Si: 0.2475 0.0000 0.7046
Si: 0.5000 0.5000 0.0000
Si: 0.5728 0.0000 0.6082
Si: 0.7475 0.5000 0.7046
Au: 0.1723 0.5000 0.0723
Au: 0.3711 0.5000 0.5569
Au: 0.3969 0.0000 0.1670
Au: 0.6723 0.0000 0.0723
Au: 0.8711 0.0000 0.5569
Au: 0.8969 0.5000 0.1670


(4)
Material: K2NaY
Method: DFT, PBE
State: relaxed

Values from the calculation:
DFT formation energy = 0.36 eV/atom
E above lowest polymorph = 0 meV per atom

Unit cell a=3.7703 b=3.7703 c=43.8612 alpha=90.00 beta=90.00 gamma=120.00
Fractional positions:
K: 0.0000 0.0000 0.0846
K: 0.0000 0.0000 0.9154
K: 0.3333 0.6667 0.5821
K: 0.3333 0.6667 0.7512
K: 0.6667 0.3333 0.2488
K: 0.6667 0.3333 0.4179
Na: 0.0000 0.0000 0.5000
Na: 0.3333 0.6667 0.1667
Na: 0.6667 0.3333 0.8333
Y: 0.0000 0.0000 0.0000
Y: 0.3333 0.6667 0.6667
Y: 0.6667 0.3333 0.3333


(5)
Material: TiSnRh3
Method: DFT, PBE
State: relaxed

Values from the calculation:
DFT formation energy = 0.34 eV/atom
E above lowest polymorph = 714 meV per atom

Unit cell a=4.5768 b=4.5768 c=4.5768 alpha=90.00 beta=90.00 gamma=90.00
Fractional positions:
Ti: 0.0000 0.0000 0.0000
Sn: 0.5000 0.5000 0.5000
Rh: 0.0000 0.0000 0.5000
Rh: 0.0000 0.5000 0.0000
Rh: 0.5000 0.0000 0.0000


(6)
Material: Ca2TmAu
Method: DFT, PBE
State: relaxed

Values from the calculation:
DFT formation energy = -0.06 eV/atom
E above lowest polymorph = 230 meV per atom

Unit cell a=3.7069 b=3.7069 c=33.1732 alpha=90.00 beta=90.00 gamma=120.00
Fractional positions:
Ca: 0.0000 0.0000 0.1043
Ca: 0.0000 0.0000 0.8957
Ca: 0.3333 0.6667 0.5623
Ca: 0.3333 0.6667 0.7710
Ca: 0.6667 0.3333 0.2290
Ca: 0.6667 0.3333 0.4377
Tm: 0.0000 0.0000 0.0000
Tm: 0.3333 0.6667 0.6667
Tm: 0.6667 0.3333 0.3333
Au: 0.0000 0.0000 0.5000
Au: 0.3333 0.6667 0.1667
Au: 0.6667 0.3333 0.8333


(7)
Material: Sm2CdAu6
Method: DFT, PBE
State: relaxed

Values from the calculation:
DFT formation energy = -0.54 eV/atom

Unit cell a=6.4428 b=6.4428 c=5.5438 alpha=90.10 beta=90.10 gamma=59.78
Fractional positions:
Sm: 0.1665 0.1665 0.1696
Sm: 0.8335 0.8335 0.8304
Cd: 0.5000 0.5000 0.0000
Au: 0.1273 0.6859 0.3224
Au: 0.3130 0.3130 0.6794
Au: 0.3141 0.8727 0.6776
Au: 0.6859 0.1273 0.3224
Au: 0.6870 0.6870 0.3206
Au: 0.8727 0.3141 0.6776


(8)
Material: Zn3SbSe
Method: DFT, PBE
State: relaxed

Values from the calculation:
E above lowest polymorph = 0 meV per atom
formation energy from raw total energies = 336.1 meV/atom

Unit cell a=4.9166 b=4.9166 c=4.9166 alpha=90.00 beta=90.00 gamma=90.00
Fractional positions:
Zn: 0.0000 0.0000 0.5000
Zn: 0.0000 0.5000 0.0000
Zn: 0.5000 0.0000 0.0000
Sb: 0.5000 0.5000 0.5000
Se: 0.0000 0.0000 0.0000


(9)
Material: U2Ge2Ru3
Method: DFT, PBE
State: relaxed

Values from the calculation:
DFT formation energy = -0.28 eV/atom

Unit cell a=12.3747 b=4.3711 c=4.9913 alpha=90.00 beta=91.64 gamma=90.00
Fractional positions:
U: 0.1430 0.0000 0.3804
U: 0.3570 0.5000 0.6196
U: 0.6430 0.5000 0.3804
U: 0.8570 0.0000 0.6196
Ge: 0.1022 0.5000 0.8718
Ge: 0.3978 0.0000 0.1282
Ge: 0.6022 0.0000 0.8718
Ge: 0.8978 0.5000 0.1282
Ru: 0.0000 0.0000 0.0000
Ru: 0.2190 0.0000 0.8215
Ru: 0.2810 0.5000 0.1785
Ru: 0.5000 0.5000 0.0000
Ru: 0.7190 0.5000 0.8215
Ru: 0.7810 0.0000 0.1785


(10)
Material: Ac4IrPtI2
Method: DFT, PBE
State: relaxed

Values from the calculation:
formation energy from raw total energies = -1157.3 meV/atom

Unit cell a=7.7030 b=4.4330 c=9.0076 alpha=90.00 beta=106.60 gamma=90.00
Fractional positions:
Ac: 0.2217 0.0000 0.1842
Ac: 0.2664 0.5000 0.8156
Ac: 0.7336 0.5000 0.1844
Ac: 0.7783 0.0000 0.8158
Ir: 0.0000 0.5000 0.0000
Pt: 0.5000 0.0000 0.0000
I: 0.0000 0.0000 0.5000
I: 0.5000 0.5000 0.5000


(11)
Material: Mg2MnCr
Method: DFT, PBE
State: relaxed

Values from the calculation:
DFT formation energy = 0.34 eV/atom
E above lowest polymorph = 176 meV per atom

Unit cell a=3.3082 b=4.4086 c=4.6613 alpha=90.00 beta=90.00 gamma=90.00
Fractional positions:
Mg: 0.0000 0.0000 0.0000
Mg: 0.5000 0.5000 0.0000
Mn: 0.0000 0.5000 0.5000
Cr: 0.5000 0.0000 0.5000


(12)
Material: Th6CoTe3Rh2
Method: DFT, PBE
State: relaxed

Values from the calculation:
formation energy from raw total energies = -943.9 meV/atom

Unit cell a=7.2038 b=7.2038 c=8.0407 alpha=98.61 beta=98.61 gamma=119.96
Fractional positions:
Th: 0.0663 0.3890 0.1989
Th: 0.2561 0.2561 0.7996
Th: 0.3890 0.0663 0.1989
Th: 0.6110 0.9337 0.8011
Th: 0.7439 0.7439 0.2004
Th: 0.9337 0.6110 0.8011
Co: 0.0000 0.0000 0.0000
Te: 0.1691 0.8309 0.5000
Te: 0.5000 0.5000 0.5000
Te: 0.8309 0.1691 0.5000
Rh: 0.3336 0.6664 0.0000
Rh: 0.6664 0.3336 0.0000


| no. | final energy (eV per atom) |
| --- | --- |
| 1 | -2.70 |
| 2 | -4.91 |
| 3 | -4.23 |
| 4 | -2.14 |
| 5 | -6.45 |
| 6 | -3.00 |
| 7 | -3.88 |
| 8 | -1.95 |
| 9 | -8.80 |
| 10 | -5.46 |
| 11 | -5.16 |
| 12 | -7.26 |